Entry 1:
# InMoRu PBE optimized geometry
data_InMoRu
_chemical_formula_sum 'In4 Mo4 Ru4'
_cell_length_a 13.699
_cell_length_b 2.958
_cell_length_c 5.020
_cell_angle_alpha 90.00
_cell_angle_beta 96.65
_cell_angle_gamma 90.00
_space_group_name_H-M_alt 'P 1'
_space_group_IT_number 1
_space_group_name_Hall 'P 1'
loop_
_atom_site_label
_atom_site_type_symbol
_atom_site_fract_x
_atom_site_fract_y
_atom_site_fract_z
In1 In 0.000 0.000 0.000
In2 In 0.004 0.500 0.500
In3 In 0.500 0.500 0.000
In4 In 0.504 0.000 0.500
Mo1 Mo 0.183 0.500 0.892
Mo2 Mo 0.322 0.500 0.281
Mo3 Mo 0.683 0.000 0.892
Mo4 Mo 0.822 0.000 0.281
Ru1 Ru 0.173 0.000 0.380
Ru2 Ru 0.331 0.000 0.783
Ru3 Ru 0.673 0.500 0.380
Ru4 Ru 0.831 0.500 0.783
# Formation energy from the elements: 0.39 eV/f.u.

Entry 2:
# Cu2AsPt PBE optimized geometry
data_Cu2AsPt
_chemical_formula_sum 'Cu2 As1 Pt1'
_cell_length_a 2.950
_cell_length_b 4.228
_cell_length_c 4.583
_cell_angle_alpha 90.00
_cell_angle_beta 90.00
_cell_angle_gamma 90.00
_space_group_name_H-M_alt 'P 1'
_space_group_IT_number 1
_space_group_name_Hall 'P 1'
loop_
_atom_site_label
_atom_site_type_symbol
_atom_site_fract_x
_atom_site_fract_y
_atom_site_fract_z
Cu1 Cu 0.000 0.000 0.000
Cu2 Cu 0.000 0.500 0.307
As1 As 0.500 0.000 0.485
Pt1 Pt 0.500 0.500 0.811
# Formation energy from the elements: -0.24 eV/f.u.

Q: Which value of formation energy from the elements does entry 2 give?
A: -0.24 eV/f.u.